(1)
{
  "formula": "Sr2ZrAl",
  "functional": "GGA-PBEsol",
  "state": "optimized geometry",
  "magnetic_moment_mub_per_fu": 0.78,
  "e_form_ev_per_atom": 0.3827,
  "total_energy_ry_per_atom": -0.28170,
  "space_group": "No. 119",
  "dos_ef_per_ev_cell": 5.1,
  "lattice": [[5.146, 0.000, 0.000], [-2.573, 4.989, 0.127], [0.000, 2.539, 4.475]],
  "species": ["Sr", "Sr", "Al", "Zr"],
  "frac_coords": [[0.000, 0.000, 0.000], [0.250, 0.500, 0.250], [0.750, 0.500, 0.750], [0.500, 0.000, 0.500]]
}

***

(2)
{
  "formula": "Ta13Al23",
  "functional": "GGA-PBEsol",
  "state": "optimized geometry",
  "magnetic_moment_mub_per_fu": 0.00,
  "e_form_ev_per_atom": -0.2392,
  "total_energy_ry_per_atom": -0.54283,
  "space_group": "No. 160",
  "dos_ef_per_ev_cell": 35.7,
  "lattice": [[-5.290, 2.201, -12.184], [-0.127, -9.862, -9.165], [-11.655, -5.847, -3.436]],
  "species": ["Ta", "Ta", "Ta", "Ta", "Ta", "Ta", "Ta", "Ta", "Ta", "Ta", "Ta", "Ta", "Ta", "Ta", "Ta", "Ta", "Ta", "Ta", "Ta", "Ta", "Ta", "Ta", "Ta", "Ta", "Ta", "Ta", "Ta", "Ta", "Ta", "Ta", "Ta", "Ta", "Ta", "Ta", "Ta", "Ta", "Ta", "Ta", "Ta", "Al", "Al", "Al", "Al", "Al", "Al", "Al", "Al", "Al", "Al", "Al", "Al", "Al", "Al", "Al", "Al", "Al", "Al", "Al", "Al", "Al", "Al", "Al", "Al", "Al", "Al", "Al", "Al", "Al", "Al", "Al", "Al", "Al", "Al", "Al", "Al", "Al", "Al", "Al", "Al", "Al", "Al", "Al", "Al", "Al", "Al", "Al", "Al", "Al", "Al", "Al", "Al", "Al", "Al", "Al", "Al", "Al", "Al", "Al", "Al", "Al", "Al", "Al", "Al", "Al", "Al", "Al", "Al", "Al"],
  "frac_coords": [[0.472, 0.217, 0.839], [0.472, 0.472, 0.839], [0.217, 0.472, 0.839], [0.476, 0.832, 0.216], [0.218, 0.838, 0.473], [0.470, 0.838, 0.473], [0.838, 0.470, 0.473], [0.838, 0.218, 0.473], [0.832, 0.476, 0.216], [0.218, 0.470, 0.473], [0.476, 0.476, 0.216], [0.470, 0.218, 0.473], [0.086, 0.086, 0.742], [0.089, 0.730, 0.092], [0.730, 0.089, 0.092], [0.089, 0.089, 0.092], [0.593, 0.593, 0.221], [0.592, 0.221, 0.594], [0.221, 0.592, 0.594], [0.592, 0.592, 0.594], [0.999, 0.999, 0.002], [0.992, 0.636, 0.380], [0.992, 0.992, 0.380], [0.636, 0.992, 0.380], [0.994, 0.375, 0.638], [0.625, 0.379, 0.999], [0.997, 0.379, 0.999], [0.379, 0.997, 0.999], [0.379, 0.625, 0.999], [0.375, 0.994, 0.638], [0.625, 0.997, 0.999], [0.994, 0.994, 0.638], [0.997, 0.625, 0.999], [0.843, 0.843, 0.472], [0.843, 0.467, 0.846], [0.467, 0.843, 0.846], [0.843, 0.843, 0.846], [0.246, 0.246, 0.262], [0.750, 0.750, 0.751], [0.165, 0.165, 0.506], [0.186, 0.486, 0.142], [0.486, 0.186, 0.142], [0.186, 0.186, 0.142], [0.447, 0.447, 0.658], [0.448, 0.656, 0.448], [0.656, 0.448, 0.448], [0.448, 0.448, 0.448], [0.338, 0.338, 0.662], [0.662, 0.338, 0.662], [0.338, 0.662, 0.662], [0.663, 0.663, 0.338], [0.337, 0.663, 0.338], [0.663, 0.337, 0.338], [0.327, 0.327, 0.018], [0.345, 0.012, 0.299], [0.012, 0.345, 0.299], [0.345, 0.345, 0.299], [0.606, 0.804, 0.985], [0.606, 0.606, 0.985], [0.804, 0.606, 0.985], [0.604, 0.987, 0.805], [0.804, 0.986, 0.607], [0.604, 0.986, 0.607], [0.986, 0.604, 0.607], [0.986, 0.804, 0.607], [0.987, 0.604, 0.805], [0.804, 0.604, 0.607], [0.604, 0.604, 0.805], [0.604, 0.804, 0.607], [0.858, 0.048, 0.235], [0.858, 0.858, 0.235], [0.048, 0.858, 0.235], [0.858, 0.234, 0.051], [0.046, 0.233, 0.864], [0.857, 0.233, 0.864], [0.233, 0.857, 0.864], [0.233, 0.046, 0.864], [0.234, 0.858, 0.051], [0.046, 0.857, 0.864], [0.858, 0.858, 0.051], [0.857, 0.046, 0.864], [0.232, 0.914, 0.621], [0.232, 0.232, 0.621], [0.914, 0.232, 0.621], [0.234, 0.623, 0.909], [0.921, 0.610, 0.236], [0.233, 0.610, 0.236], [0.610, 0.233, 0.236], [0.610, 0.921, 0.236], [0.623, 0.234, 0.909], [0.921, 0.233, 0.236], [0.234, 0.234, 0.909], [0.233, 0.921, 0.236], [0.101, 0.101, 0.395], [0.403, 0.101, 0.395], [0.101, 0.403, 0.395], [0.737, 0.419, 0.108], [0.737, 0.737, 0.108], [0.419, 0.737, 0.108], [0.736, 0.108, 0.420], [0.418, 0.108, 0.738], [0.736, 0.108, 0.738], [0.108, 0.736, 0.738], [0.108, 0.418, 0.738], [0.108, 0.736, 0.420], [0.418, 0.736, 0.738], [0.736, 0.736, 0.420], [0.736, 0.418, 0.738]]
}

***

(3)
{
  "formula": "TaAl",
  "functional": "GGA-PBEsol",
  "state": "optimized geometry",
  "magnetic_moment_mub_per_fu": 0.00,
  "e_form_ev_per_atom": 1.2253,
  "total_energy_ry_per_atom": -0.52155,
  "space_group": "No. 194",
  "dos_ef_per_ev_cell": 3.0,
  "lattice": [[4.527, 0.000, 0.000], [-2.263, 3.920, 0.000], [0.000, 0.000, 5.130]],
  "species": ["Al", "Al", "Ta", "Ta"],
  "frac_coords": [[0.667, 0.333, 0.250], [0.333, 0.667, 0.750], [0.667, 0.333, 0.750], [0.333, 0.667, 0.250]]
}